Below is DyHo2Sb after structural relaxation, with properties calculated at the PBE level.

Calculated values
Offset from the most stable computed form (eV/atom): 0.0783
ρ (g cm⁻³): 9.43
VASP energy (eV per atom): -4.939
Uncorrected formation energy (eV/atom): -0.47
Fermi-level density of states (states/eV per cell): 5.0

abc: 4.766 4.766 4.760
angles: 90.00 90.00 90.00
Positions (direct):
Dy (0.000, 0.000, 0.000)
Ho (0.000, 0.500, 0.500)
Ho (0.500, 0.000, 0.500)
Sb (0.500, 0.500, 0.000)